A plane-wave DFT calculation with PBEsol was carried out for an optimized crystal structure of SnRuSeBr2.

abc: 4.999 4.999 4.769
angles: 90.00 90.00 90.00
Space group P4/mmm (No. 123)
Asymmetric unit:
Sn: 0.000 0.000 0.000 [1 per cell]
Ru: 0.500 0.500 0.500 [1 per cell]
Se: 0.500 0.500 0.000 [1 per cell]
Br: 0.000 0.500 0.500 [2 per cell]

Properties
- formation energy (no corrections) (eV/atom) = 0.10
- magnetization (μB/atom) = 0.0005
- raw total energy (Ry per atom) = -0.316